Record 1
{"formula": "PH2Ru", "functional": "PBE-GGA", "state": "relaxed", "cell": [[-1.600, 1.600, 3.644], [1.600, -1.600, 3.644], [1.600, 1.600, -3.644]], "species": ["P", "H", "H", "Ru"], "fractional_positions": [[0.000, 0.000, 0.000], [0.344, 0.344, 0.000], [0.656, 0.656, 0.000], [0.750, 0.250, 0.500]], "m_tot_mub_per_atom": 0.0000, "e_above_lowest_polymorph_ev_per_fu": 0.023}

---

Record 2
{"formula": "Si2Bi2Sb", "functional": "PBE-GGA", "state": "relaxed", "cell": [[7.578, 0.000, 0.000], [0.000, 7.578, 0.000], [0.000, 0.000, 4.332]], "species": ["Si", "Si", "Si", "Si", "Bi", "Bi", "Bi", "Bi", "Sb", "Sb"], "fractional_positions": [[0.112, 0.388, 0.000], [0.388, 0.888, 0.000], [0.612, 0.112, 0.000], [0.888, 0.612, 0.000], [0.190, 0.690, 0.500], [0.310, 0.190, 0.500], [0.690, 0.810, 0.500], [0.810, 0.310, 0.500], [0.000, 0.000, 0.000], [0.500, 0.500, 0.000]], "m_tot_mub_per_atom": 0.0000, "e_above_lowest_polymorph_ev_per_fu": 0.532, "e_form_raw_kj_per_mol_fu": 213.4}

---

Record 3
{"formula": "Zn3Cu2Au8", "functional": "PBE-GGA", "state": "relaxed", "cell": [[2.718, 1.569, 9.512], [-2.718, 1.569, 9.512], [0.000, -3.138, 9.512]], "species": ["Zn", "Zn", "Zn", "Cu", "Cu", "Au", "Au", "Au", "Au", "Au", "Au", "Au", "Au"], "fractional_positions": [[0.000, 0.000, 0.000], [0.189, 0.189, 0.189], [0.811, 0.811, 0.811], [0.368, 0.368, 0.368], [0.632, 0.632, 0.632], [0.223, 0.724, 0.724], [0.276, 0.276, 0.777], [0.276, 0.777, 0.276], [0.281, 0.281, 0.281], [0.719, 0.719, 0.719], [0.724, 0.223, 0.724], [0.724, 0.724, 0.223], [0.777, 0.276, 0.276]], "m_tot_mub_per_atom": 0.0000, "e_above_lowest_polymorph_ev_per_fu": 2.189}

---

Record 4
{"formula": "CdTePb2", "functional": "PBE-GGA", "state": "relaxed", "cell": [[3.646, -4.127, 0.000], [3.646, 4.127, 0.000], [0.000, 0.000, 3.986]], "species": ["Cd", "Te", "Pb", "Pb"], "fractional_positions": [[0.000, 0.000, 0.000], [0.500, 0.500, 0.000], [0.000, 0.500, 0.500], [0.500, 0.000, 0.500]], "m_tot_mub_per_atom": 0.0000, "e_above_lowest_polymorph_ev_per_fu": 0.121, "e_form_raw_kj_per_mol_fu": -14.2}

---

Record 5
{"formula": "Ce4Al16Ni4C3", "functional": "PBE-GGA", "state": "relaxed", "cell": [[3.589, 0.000, 0.000], [0.000, 7.686, 0.000], [0.000, 0.000, 15.900]], "species": ["Ce", "Ce", "Ce", "Ce", "Al", "Al", "Al", "Al", "Al", "Al", "Al", "Al", "Al", "Al", "Al", "Al", "Al", "Al", "Al", "Al", "Ni", "Ni", "Ni", "Ni", "C", "C", "C"], "fractional_positions": [[0.000, 0.000, 0.000], [0.000, 0.500, 0.222], [0.500, 0.000, 0.493], [0.500, 0.500, 0.720], [0.000, 0.000, 0.193], [0.000, 0.193, 0.799], [0.000, 0.233, 0.609], [0.000, 0.304, 0.424], [0.000, 0.500, 0.028], [0.000, 0.696, 0.424], [0.000, 0.767, 0.609], [0.000, 0.807, 0.799], [0.500, 0.000, 0.692], [0.500, 0.200, 0.302], [0.500, 0.250, 0.113], [0.500, 0.302, 0.919], [0.500, 0.500, 0.532], [0.500, 0.698, 0.919], [0.500, 0.750, 0.113], [0.500, 0.800, 0.302], [0.000, 0.000, 0.346], [0.000, 0.500, 0.875], [0.500, 0.000, 0.846], [0.500, 0.500, 0.382], [0.000, 0.500, 0.609], [0.500, 0.000, 0.115], [0.500, 0.500, 0.105]], "final_energy_ev_per_atom": -5.302, "m_tot_mub_per_atom": 0.0000}

---

Record 6
{"formula": "KY2As", "functional": "PBE-GGA", "state": "relaxed", "cell": [[3.994, 0.000, 0.000], [0.000, 3.942, 0.000], [-1.971, 0.000, 9.217]], "species": ["K", "Y", "Y", "As"], "fractional_positions": [[0.000, 0.000, 0.000], [0.317, 0.500, 0.630], [0.699, 0.000, 0.389], [0.161, 0.500, 0.313]], "final_energy_ev_per_atom": -5.119, "m_tot_mub_per_atom": 0.3785}

---

Record 7
{"formula": "Tl2InW", "functional": "PBE-GGA", "state": "relaxed", "cell": [[0.000, 3.647, 3.647], [3.647, 0.000, 3.647], [3.647, 3.647, 0.000]], "species": ["Tl", "Tl", "In", "W"], "fractional_positions": [[0.250, 0.250, 0.250], [0.750, 0.750, 0.750], [0.000, 0.000, 0.000], [0.500, 0.500, 0.500]], "m_tot_mub_per_atom": 0.6659, "e_above_lowest_polymorph_ev_per_fu": 2.064}

---

Record 8
{"formula": "TaGaCu", "functional": "PBE-GGA", "state": "relaxed", "cell": [[-1.413, 1.413, 11.709], [1.413, -1.413, 11.709], [1.413, 1.413, -11.709]], "species": ["Ta", "Ta", "Ga", "Ga", "Cu", "Cu"], "fractional_positions": [[0.058, 0.058, 0.000], [0.942, 0.942, 0.000], [0.355, 0.355, 0.000], [0.645, 0.645, 0.000], [0.216, 0.216, 0.000], [0.784, 0.784, 0.000]], "final_energy_ev_per_atom": -6.215, "m_tot_mub_per_atom": 0.0000}